1.
## BaTl2W (PBE-GGA)

Data for a geometry-optimized BaTl2W structure.

a = 3.8358 Å, b = 3.8518 Å, c = 8.1665 Å
α = 90.00°, β = 90.00°, γ = 90.00°
Sites, in units of the cell vectors:
Tl 0.0000 0.0000 0.0568
Tl 0.5000 0.5000 0.3148
Ba 0.5000 0.5000 0.7221
W 0.0000 0.0000 0.4063

Properties
Magnetization in μB per formula unit: 0.0
Polymorph energy (0 for the lowest one) in meV/atom: 136

2.
## BaTl2W (PBE-GGA)

Data for a geometry-optimized BaTl2W structure.

a = 5.4476 Å, b = 5.4476 Å, c = 5.4476 Å
α = 60.00°, β = 60.00°, γ = 60.00°
Site moments in Bohr magnetons follow the coordinates.
Sites, in units of the cell vectors:
Tl 0.7500 0.7500 0.7500  -0.01
Ba 0.0000 0.0000 0.0000  0.04
W 0.5000 0.5000 0.5000  2.50
Tl 0.2500 0.2500 0.2500  -0.01

Properties
Magnetization in μB per formula unit: 3.5
Polymorph energy (0 for the lowest one) in meV/atom: 206

3.
## BaTl2ZnW (PBE-GGA)

Data for a geometry-optimized BaTl2ZnW structure.

a = 5.4484 Å, b = 5.7835 Å, c = 5.4484 Å
α = 90.00°, β = 90.00°, γ = 90.00°
Sites, in units of the cell vectors:
W 0.0000 0.0000 0.0000
Zn 0.5000 0.5000 0.5000
Tl 0.5000 0.0000 0.0000
Ba 0.0000 0.5000 0.0000
Tl 0.0000 0.0000 0.5000

Properties
Magnetization in μB per formula unit: 0.0

4.
## BaZrTl2W (PBE-GGA)

Data for a geometry-optimized BaZrTl2W structure.

a = 5.9047 Å, b = 5.3348 Å, c = 5.9047 Å
α = 90.00°, β = 90.00°, γ = 90.00°
Site moments in Bohr magnetons follow the coordinates.
Sites, in units of the cell vectors:
Tl 0.5000 0.0000 0.0000  -0.05
Tl 0.0000 0.0000 0.5000  -0.03
Ba 0.0000 0.0000 0.0000  -0.03
Zr 0.5000 0.5000 0.5000  -1.11
W 0.0000 0.5000 0.0000  1.85

Properties
Magnetization in μB per formula unit: 0.4

5.
## BaYTl2 (PBE-GGA)

Data for a geometry-optimized BaYTl2 structure.

a = 3.9700 Å, b = 4.0185 Å, c = 9.1711 Å
α = 63.97°, β = 90.00°, γ = 90.00°
Sites, in units of the cell vectors:
Tl 0.0000 0.5402 0.4595
Tl 0.0000 0.9598 0.0405
Ba 0.5000 0.7500 0.7500
Y 0.5000 0.2500 0.2500

Properties
Magnetization in μB per formula unit: 0.0

6.
## BaYTl2 (PBE-GGA)

Data for a geometry-optimized BaYTl2 structure.

a = 3.8558 Å, b = 5.1455 Å, c = 7.0988 Å
α = 90.00°, β = 90.00°, γ = 90.00°
Sites, in units of the cell vectors:
Y 0.0000 0.0000 0.4193
Tl 0.5000 0.5000 0.3023
Ba 0.5000 0.5000 0.7898
Tl 0.0000 0.0000 0.9886

Properties
Magnetization in μB per formula unit: 0.0

7.
## BaYTl (PBE-GGA)

Data for a geometry-optimized BaYTl structure.

a = 4.0667 Å, b = 4.0684 Å, c = 14.2698 Å
α = 90.02°, β = 106.61°, γ = 90.00°
Site moments in Bohr magnetons follow the coordinates.
Sites, in units of the cell vectors:
Ba 0.3301 0.7778 0.6189  -0.01
Tl 0.6568 0.2777 0.4460  0.00
Y 0.3902 0.2773 0.1806  0.25
Ba 0.1072 0.2771 0.8985  -0.01
Tl 0.7806 0.7772 0.0714  -0.01
Y 0.0472 0.7776 0.3368  0.25

Properties
Magnetization in μB per formula unit: 0.4
Polymorph energy (0 for the lowest one) in meV/atom: 42

8.
## BaYTl3 (PBE-GGA)

Data for a geometry-optimized BaYTl3 structure.

a = 5.8947 Å, b = 5.8947 Å, c = 5.8947 Å
α = 90.00°, β = 90.00°, γ = 90.00°
Site moments in Bohr magnetons follow the coordinates.
Sites, in units of the cell vectors:
Ba 0.5000 0.5000 0.5000  0.00
Tl 0.0000 0.0000 0.5000  0.02
Tl 0.5000 0.0000 0.0000  0.04
Tl 0.0000 0.5000 0.0000  0.05
Y 0.0000 0.0000 0.0000  0.17

Properties
Magnetization in μB per formula unit: 0.5
Polymorph energy (0 for the lowest one) in meV/atom: 0

9.
## BaYTl2 (PBE-GGA)

Data for a geometry-optimized BaYTl2 structure.

a = 10.7360 Å, b = 10.7360 Å, c = 10.7360 Å
α = 21.02°, β = 21.02°, γ = 21.02°
Sites, in units of the cell vectors:
Y 0.2500 0.2500 0.2500
Tl 0.5069 0.5069 0.5069
Ba 0.7500 0.7500 0.7500
Tl 0.9931 0.9931 0.9931

Properties
Magnetization in μB per formula unit: 0.0

10.
## BaYTl (PBE-GGA)

Data for a geometry-optimized BaYTl structure.

a = 5.5955 Å, b = 5.5955 Å, c = 5.5955 Å
α = 60.00°, β = 60.00°, γ = 60.00°
Sites, in units of the cell vectors:
Y 0.0000 0.0000 0.0000
Ba 0.5000 0.5000 0.5000
Tl 0.7500 0.7500 0.7500

Properties
Magnetization in μB per formula unit: 0.0
Polymorph energy (0 for the lowest one) in meV/atom: 334

11.
## BaYTl (PBE-GGA)

Data for a geometry-optimized BaYTl structure.

a = 8.2343 Å, b = 5.3022 Å, c = 5.2986 Å
α = 90.00°, β = 90.00°, γ = 90.01°
Sites, in units of the cell vectors:
Ba 0.2974 0.0824 0.6770
Y 0.9353 0.5824 0.6770
Tl 0.7240 0.0824 0.6770
Tl 0.1468 0.5825 0.1770
Y 0.9354 0.0824 0.1770
Ba 0.5734 0.5824 0.1770

Properties
Magnetization in μB per formula unit: 0.0
Polymorph energy (0 for the lowest one) in meV/atom: 0

12.
## Ba5YTl6 (PBE-GGA)

Data for a geometry-optimized Ba5YTl6 structure.

a = 5.9395 Å, b = 8.3117 Å, c = 10.3633 Å
α = 66.36°, β = 73.23°, γ = 90.00°
Sites, in units of the cell vectors:
Tl 0.8486 0.0663 0.3018
Ba 0.3398 0.3401 0.3200
Tl 0.4997 0.2053 0.9999
Ba 0.3141 0.8144 0.3713
Tl 0.1513 0.3679 0.6982
Y 0.0000 0.0000 0.0000
Ba 0.6602 0.6599 0.6800
Ba 0.6859 0.1856 0.6287
Ba 0.0000 0.5000 0.0000
Tl 0.5003 0.7947 0.0001
Tl 0.1514 0.9337 0.6982
Tl 0.8487 0.6321 0.3018

Properties
Magnetization in μB per formula unit: 0.0

| no. | ΔH_f (0 K) (meV per atom) | V (Å³ per cell) |
| --- | --- | --- |
| 1 | 777 | 120.7 |
| 2 | 847 | 114.3 |
| 3 | 765 | 171.7 |
| 4 | 2244 | 186.0 |
| 5 | -386 | 131.5 |
| 6 | -125 | 140.8 |
| 7 | -264 | 226.3 |
| 8 | -11 | 204.8 |
| 9 | -195 | 139.4 |
| 10 | 28 | 123.9 |
| 11 | -306 | 231.3 |
| 12 | -388 | 444.8 |